No. 1
Ta2CuSe | GGA-PBE | relaxed

a b c (Å): 8.435 8.435 8.435
angles (deg): 21.01 21.01 21.01
Positions (direct):
Cu 0.250 0.250 0.250
Se 0.750 0.750 0.750
Ta 0.001 0.001 0.001
Ta 0.499 0.499 0.499

## Properties
DOS(E_F) = 2.70 states/eV/f.u.
Formation energy from raw total energies = 17.3 kJ per mole of atoms
SG = R-3m, No. 166
M_tot = 0.00 μB/f.u.
E = -7.642 eV/atom

No. 2
Tb2Pm3HoTe6 | GGA-PBE | relaxed

a b c (Å): 4.380 8.897 9.888
angles (deg): 103.66 102.79 90.00
Positions (direct):
Te 0.664 0.087 0.327
Te 0.668 0.579 0.336
Te 0.998 0.757 0.997
Pm 0.832 0.167 0.664
Pm 0.500 0.500 0.000
Tb 0.833 0.666 0.665
Ho 0.500 0.000 0.000
Te 0.002 0.243 0.003
Tb 0.167 0.334 0.335
Pm 0.168 0.833 0.336
Te 0.332 0.421 0.664
Te 0.336 0.913 0.673

## Properties
DOS(E_F) = 6.17 states/eV/f.u.
Formation energy from raw total energies = -130.4 kJ per mole of atoms
SG = C2/m, No. 12
M_tot = 0.00 μB/f.u.
E = -5.263 eV/atom

No. 3
LaSc2InCo | GGA-PBE | relaxed

a b c (Å): 4.899 4.899 5.043
angles (deg): 90.00 90.00 90.00
Positions (direct):
La 0.500 0.500 0.500
In 0.000 0.000 0.500
Co 0.000 0.000 0.000
Sc 0.000 0.500 0.000
Sc 0.500 0.000 0.000

## Properties
DOS(E_F) = 6.76 states/eV/f.u.
Formation enthalpy at 0 K = -0.18 eV/atom
SG = P4/mmm, No. 123
M_tot = 0.50 μB/f.u.
E = -5.667 eV/atom

No. 4
Pm3Sm2DyY6 | GGA-PBE | relaxed

a b c (Å): 6.238 6.238 11.868
angles (deg): 95.01 95.01 119.97
Positions (direct):
Y 0.750 0.750 0.249
Y 0.083 0.416 0.249
Sm 0.666 0.334 0.000
Dy 0.000 0.000 0.000
Pm 0.833 0.167 0.500
Y 0.917 0.584 0.751
Pm 0.167 0.833 0.500
Pm 0.500 0.500 0.500
Y 0.416 0.083 0.249
Y 0.584 0.917 0.751
Sm 0.334 0.666 0.000
Y 0.250 0.250 0.751

## Properties
DOS(E_F) = 15.61 states/eV/f.u.
Formation enthalpy at 0 K = 0.01 eV/atom
SG = C2/m, No. 12
M_tot = 0.00 μB/f.u.
E = -5.576 eV/atom